Cs2CuAuO4 after structural relaxation, computed with PBE-GGA.

Cell: 5.849 7.680 10.529 Å, 83.93 73.87 67.62°
Sites, in units of the cell vectors:
Cu  0.750  0.500  0.500
Cu  0.000  0.000  0.000
O  0.069  0.321  0.498
O  0.610  0.321  0.502
O  0.681  0.179  0.002
O  0.140  0.179  0.998
O  0.317  0.821  0.002
O  0.433  0.679  0.498
O  0.888  0.679  0.502
O  0.862  0.821  0.998
Cs  0.583  0.500  0.834
Cs  0.833  0.000  0.334
Cs  0.167  0.000  0.666
Cs  0.917  0.500  0.166
Au  0.500  0.000  0.000
Au  0.250  0.500  0.500

- space group = No. 70
- ΔE_f (raw) (eV per formula unit) = -6.63
- electronic total energy (eV/atom) = -4.4432